Entry 1:
Ba2BAu2: relaxed, PBE.

Output
E	-3.278	eV/atom
space-group type	I4/mmm, No. 139
calculated formation energy	138	meV/atom
excess energy over the best structure of this formula in the dataset	0.000	eV/atom

Geometry as POSCAR:
```
Ba2BAu2
1.0
3.8888 0.0000 0.0000
0.0000 3.8888 0.0000
1.9444 1.9444 9.3167
Ba Au B
2 2 1
direct
0.5955 0.5955 0.8091 Ba
0.4045 0.4045 0.1909 Ba
0.7500 0.2500 0.5000 Au
0.2500 0.7500 0.5000 Au
0.0000 0.0000 0.0000 B
```

Entry 2:
KIn12Ag4: relaxed, PBE.

Output
E	-2.596	eV/atom
space-group type	Im-3, No. 204
calculated formation energy	72	meV/atom

Geometry as POSCAR:
```
KIn12Ag4
1.0
8.5709 0.0000 0.0000
-2.8570 8.0807 0.0000
-2.8570 -4.0404 6.9981
In Ag K
12 4 1
direct
0.8446 0.6521 0.4968 In
0.3479 0.1925 0.8446 In
0.1925 0.8446 0.3479 In
0.6521 0.4968 0.8446 In
0.8075 0.1554 0.6521 In
0.3479 0.5032 0.1554 In
0.4968 0.8446 0.6521 In
0.1554 0.6521 0.8075 In
0.1554 0.3479 0.5033 In
0.8446 0.3479 0.1925 In
0.6521 0.8075 0.1554 In
0.5032 0.1554 0.3479 In
0.0000 0.5000 0.0000 Ag
0.0000 0.0000 0.5000 Ag
0.5000 0.5000 0.5000 Ag
0.5000 0.0000 0.0000 Ag
0.0000 0.0000 0.0000 K
```

Entry 3:
Rb4Pr3TlO8: relaxed, PBE.

Output
E	-5.874	eV/atom
space-group type	R-3m, No. 166
formation energy from raw total energies	-33.75	eV/f.u.

Geometry as POSCAR:
```
Rb4Pr3TlO8
1.0
-6.9821 -2.1362 0.6018
1.6498 -6.5325 -4.0480
3.9420 1.3756 6.0225
O Pr Rb Tl
8 3 4 1
direct
0.7294 0.6875 0.9585 O
0.7705 0.3122 0.5410 O
0.2291 0.6875 0.9585 O
0.2295 0.6878 0.4590 O
0.2733 0.3198 0.5465 O
0.7709 0.3125 0.0415 O
0.7267 0.6802 0.4535 O
0.2706 0.3125 0.0415 O
0.0000 0.5000 0.5000 Pr
0.5000 0.5000 0.5000 Pr
0.5000 0.5000 0.0000 Pr
0.0000 0.0000 0.0000 Rb
0.5000 0.0000 0.5000 Rb
0.0000 0.0000 0.5000 Rb
0.5000 0.0000 0.0000 Rb
0.0000 0.5000 0.0000 Tl
```

Entry 4:
Zn2RuRh: relaxed, PBE.

Output
E	-4.903	eV/atom
space-group type	P4/mmm, No. 123
calculated formation energy	-109	meV/atom

Geometry as POSCAR:
```
Zn2RuRh
1.0
3.0039 0.0000 0.0000
0.0000 3.0039 0.0000
0.0000 0.0000 6.1495
Zn Rh Ru
2 1 1
direct
0.0000 0.0000 0.7458 Zn
0.0000 0.0000 0.2542 Zn
0.5000 0.5000 0.5000 Rh
0.5000 0.5000 0.0000 Ru
```

What is the E in the fourth record?
-4.903 eV/atom